## Cr2CoF (PBE+U)

Data for Cr2CoF after structural relaxation.

Structure (POSCAR):
```
Cr2CoF
1.0
-3.3088 3.3088 3.1137
3.3088 -3.3088 3.1137
3.3088 3.3088 -3.1137
Cr Co F
4 2 2
Cartesian
1.6544 1.2656 -0.7784
2.0433 -1.6544 3.8921
1.6544 2.0433 2.3353
1.2656 4.9632 0.7784
3.3088 0.0000 1.5569
0.0000 0.0000 3.1137
0.0000 0.0000 0.0000
0.0000 3.3088 1.5569
```

- space group = I-42d (122)
- size of the total moment (μB/atom) = 2.881
- distance to the lowest polymorph of the same formula (meV per atom) = 0